[1]
Below is Ti6ZnIn after structural relaxation, with properties calculated at the PBE level.

Computed properties:
- Calculated formation energy: -0.11 eV per atom
- DOS(E_F): 9.3 states/eV per cell
- V: 17.1 Å³ per atom

Cell and atoms, written as CIF:
```
data_Ti6ZnIn
_cell_length_a 4.098
_cell_length_b 4.098
_cell_length_c 8.143
_cell_angle_alpha 90.00
_cell_angle_beta 90.00
_cell_angle_gamma 90.00
_symmetry_space_group_name_H-M 'P 1'
_symmetry_Int_Tables_number 1
_symmetry_space_group_name_Hall 'P 1'
loop_
_atom_site_label
_atom_site_fract_x
_atom_site_fract_y
_atom_site_fract_z
Ti1 0.500 0.500 0.000
Ti2 0.500 0.500 0.500
Ti3 0.500 0.000 0.260
Ti4 0.500 0.000 0.740
Ti5 0.000 0.500 0.260
Ti6 0.000 0.500 0.740
Zn1 0.000 0.000 0.500
In1 0.000 0.000 0.000
```

---

[2]
Below is Ti8Zn2In after structural relaxation, with properties calculated at the PBE level.

Computed properties:
- Calculated formation energy: 0.04 eV per atom
- DOS(E_F): 9.4 states/eV per cell
- V: 17.4 Å³ per atom

Cell and atoms, written as CIF:
```
data_Ti8Zn2In
_cell_length_a 4.684
_cell_length_b 7.429
_cell_length_c 7.429
_cell_angle_alpha 120.79
_cell_angle_beta 104.55
_cell_angle_gamma 104.55
_symmetry_space_group_name_H-M 'P 1'
_symmetry_Int_Tables_number 1
_symmetry_space_group_name_Hall 'P 1'
loop_
_atom_site_label
_atom_site_fract_x
_atom_site_fract_y
_atom_site_fract_z
Ti1 0.827 0.903 0.673
Ti2 0.827 0.673 0.903
Ti3 0.279 0.574 0.574
Ti4 0.500 0.784 0.216
Ti5 0.500 0.216 0.784
Ti6 0.721 0.426 0.426
Ti7 0.173 0.327 0.097
Ti8 0.173 0.097 0.327
Zn1 0.000 0.307 0.693
Zn2 0.000 0.693 0.307
In1 0.500 0.000 0.000
```

---

[3]
Below is Ti4Zn2In3 after structural relaxation, with properties calculated at the PBE level.

Computed properties:
- E above lowest polymorph: 0.005 eV per atom
- Calculated formation energy: -0.06 eV per atom
- DOS(E_F): 8.6 states/eV per cell
- V: 18.3 Å³ per atom

Cell and atoms, written as CIF:
```
data_Ti4Zn2In3
_cell_length_a 4.366
_cell_length_b 5.782
_cell_length_c 8.290
_cell_angle_alpha 58.76
_cell_angle_beta 74.74
_cell_angle_gamma 67.82
_symmetry_space_group_name_H-M 'P 1'
_symmetry_Int_Tables_number 1
_symmetry_space_group_name_Hall 'P 1'
loop_
_atom_site_label
_atom_site_fract_x
_atom_site_fract_y
_atom_site_fract_z
Ti1 0.331 0.344 0.994
Ti2 0.869 0.588 0.674
Ti3 0.131 0.412 0.326
Ti4 0.669 0.656 0.006
Zn1 0.781 0.133 0.302
Zn2 0.219 0.867 0.698
In1 0.572 0.207 0.650
In2 0.000 0.000 0.000
In3 0.428 0.793 0.350
```